No. 1
Material: SrLi2PaS4
Method: DFT, GGA-PBE
State: relaxed

## Properties
The energy relative to the elements, uncorrected is -1.57 eV/atom. Its total moment is 2.016 μB/cell.

Cell lengths 5.597, 5.597, 11.819 Å; angles 90.00, 90.00, 90.00 degrees
Space group I-4m2 (No. 119)
One atom of each set of equivalent atoms:
Sr  0.000  0.000  0.000 [2 per cell]
Li  0.000  0.000  0.500 [2 per cell]
Li  0.000  0.500  0.250 [2 per cell]
Pa  0.000  0.500  0.750 [2 per cell]
S  0.000  0.000  0.255 [4 per cell]
S  0.000  0.500  0.525 [4 per cell]


No. 2
Material: SrLiPaS4
Method: DFT, GGA-PBE
State: relaxed

## Properties
The energy relative to the elements, uncorrected is -1.61 eV/atom. Its total moment is 0.000 μB/cell.

Cell lengths 6.496, 6.408, 8.148 Å; angles 90.00, 108.49, 90.00 degrees
Space group P2_1/m (No. 11)
One atom of each set of equivalent atoms:
Sr  0.249  0.250  0.443 [2 per cell]
Li  0.262  0.750  0.180 [2 per cell]
Pa  0.272  0.250  0.943 [2 per cell]
S  0.028  0.750  0.906 [2 per cell]
S  0.047  0.750  0.356 [2 per cell]
S  0.479  0.510  0.783 [4 per cell]


No. 3
Material: Sr2LiPaS4
Method: DFT, GGA-PBE
State: relaxed

## Properties
The energy relative to the elements, uncorrected is -1.73 eV/atom. Its total moment is 1.618 μB/cell.

Cell lengths 7.044, 4.061, 7.119 Å; angles 90.00, 108.98, 90.00 degrees
Space group P2/m (No. 10)
One atom of each set of equivalent atoms:
Sr  0.000  0.000  0.000 [1 per cell]
Sr  0.500  0.500  0.000 [1 per cell]
Li  0.000  0.500  0.500 [1 per cell]
Pa  0.500  0.000  0.500 [1 per cell]
S  0.249  0.000  0.725 [2 per cell]
S  0.257  0.500  0.271 [2 per cell]


No. 4
Material: Li4Tb3PaS8
Method: DFT, GGA-PBE
State: relaxed

## Properties
The energy relative to the elements, uncorrected is -1.73 eV/atom. Its total moment is 4.977 μB/cell.

Cell lengths 7.8297, 7.8297, 18.5779 Å; angles 90.00, 90.00, 120.00 degrees
Space group R-3m (No. 166, hexagonal axes)
One atom of each set of equivalent atoms:
Li  0.0000  0.0000  0.0000 [3 per cell]
Li  0.0000  0.5000  0.0000 [9 per cell]
Tb  0.0000  0.5000  0.5000 [9 per cell]
Pa  0.0000  0.0000  0.5000 [3 per cell]
S  0.0000  0.0000  0.2513 [6 per cell]
S  0.0025  0.5012  0.2517 [18 per cell]


No. 5
Material: Li2Tb2PaS6
Method: DFT, GGA-PBE
State: relaxed

## Properties
The energy relative to the elements, uncorrected is -1.75 eV/atom. Its total moment is 2.049 μB/cell.

Cell lengths 6.891, 11.885, 6.564 Å; angles 90.00, 110.19, 90.00 degrees
Space group C2/m (No. 12)
One atom of each set of equivalent atoms:
Li  0.000  0.168  0.000 [4 per cell]
Tb  0.000  0.335  0.500 [4 per cell]
Pa  0.000  0.000  0.500 [2 per cell]
S  0.241  0.000  0.254 [4 per cell]
S  0.241  0.167  0.745 [8 per cell]


No. 6
Material: LiTb3Pa3S8
Method: DFT, GGA-PBE
State: relaxed

## Properties
The energy relative to the elements, uncorrected is -1.77 eV/atom. Its total moment is 6.215 μB/cell.

Cell lengths 7.7283, 7.7283, 19.2750 Å; angles 90.00, 90.00, 120.00 degrees
Space group R-3m (No. 166, hexagonal axes)
One atom of each set of equivalent atoms:
Li  0.0000  0.0000  0.0000 [3 per cell]
Tb  0.0000  0.5000  0.5000 [9 per cell]
Pa  0.0000  0.5000  0.0000 [9 per cell]
S  0.0000  0.0000  0.2490 [6 per cell]
S  0.0051  0.5026  0.7480 [18 per cell]


no.,E (eV/atom)
1,-5.514
2,-5.838
3,-5.642
4,-5.730
5,-6.054
6,-6.926